The following is a DFT calculation (PBE) of an optimized crystal structure of CrCo2Ni.

E = -7.37 eV/atom
crystal system = tetragonal
ΔH_f (0 K) = 0.14 eV/f.u.

Cell and atoms, written as POSCAR:
```
CrCo2Ni
1.0
4.3056 0.0015 0.0034
1.4128 4.0672 -0.0034
-2.8611 -2.0317 2.4931
Ni Cr Co
1 1 2
Direct
0.2500 0.7500 0.5000 Ni
0.7500 0.2500 0.5000 Cr
0.5000 0.5000 0.0000 Co
0.0000 0.0000 0.0000 Co
```